No. 1
This record from Alexandria via LeMat-Bulk describes an optimized crystal structure of AlAg. The functional is PBE-GGA.

Cell lengths 4.5574, 4.5574, 5.1639 Å; angles 90.00, 90.00, 120.00 degrees
With the nearest neighbours (Å) after each atom.
Element x y z (fractional)
Ag 0.3333 0.6667 0.9355  5 Al 2.58-2.63
Al 0.3333 0.6667 0.4355  5 Ag 2.58-2.63
Ag 0.6667 0.3333 0.4355  5 Al 2.58-2.63
Al 0.6667 0.3333 0.9355  5 Ag 2.58-2.63

Summary:
Its formation energy is 0.34 eV per atom. The crystal system is hexagonal. For the density of states at the Fermi level, the calculation gives 0.535 states/eV per atom.

No. 2
This record from Alexandria via LeMat-Bulk describes an optimized crystal structure of Al5Ag3. The functional is PBE-GGA.

Cell lengths 4.0455, 8.2934, 4.0544 Å; angles 90.00, 90.00, 90.00 degrees
With the nearest neighbours (Å) after each atom.
Element x y z (fractional)
Ag 0.0000 0.2500 0.5000  8 Al 2.86-2.90, 4 Ag 2.92
Ag 0.0000 0.5034 0.0000  10 Al 2.86-2.92, 2 Ag 2.92
Al 0.5000 0.9997 0.5000  6 Ag 2.86-2.90, 6 Al 2.89-2.90
Al 0.5000 0.5003 0.5000  6 Ag 2.86-2.90, 6 Al 2.89-2.90
Al 0.0000 0.7500 0.5000  8 Al 2.86-2.89, 4 Ag 2.88
Al 0.5000 0.7500 0.0000  8 Al 2.86-2.90, 4 Ag 2.88
Ag 0.0000 0.9966 0.0000  10 Al 2.86-2.92, 2 Ag 2.92
Al 0.5000 0.2500 0.0000  8 Ag 2.86-2.92, 4 Al 2.90

Summary:
Its formation energy is 0.02 eV per atom. Its energy above the lowest structure with this stoichiometry is 58 meV/atom. The crystal system is orthorhombic. For the density of states at the Fermi level, the calculation gives 0.293 states/eV per atom.

No. 3
This record from Alexandria via LeMat-Bulk describes an optimized crystal structure of Al2Ag7. The functional is PBE-GGA.

Cell lengths 4.5967, 4.5967, 8.5159 Å; angles 90.00, 90.00, 120.00 degrees
With the nearest neighbours (Å) after each atom.
Element x y z (fractional)
Ag 0.0000 0.0000 0.3281  5 Ag 2.79-2.93, 3 Al 2.81
Ag 0.6667 0.3333 0.5449  7 Ag 2.76-2.89, 1 Al 2.76
Ag 0.3333 0.6667 0.1160  4 Al 2.80-2.86, 4 Ag 2.83-2.89
Al 0.3333 0.6667 0.7795  8 Ag 2.76-2.86
Ag 0.0000 0.0000 0.6719  5 Ag 2.79-2.93, 3 Al 2.81
Al 0.6667 0.3333 0.2205  8 Ag 2.76-2.86
Ag 0.0000 0.0000 0.0000  8 Ag 2.79-2.83
Ag 0.3333 0.6667 0.4551  7 Ag 2.76-2.89, 1 Al 2.76
Ag 0.6667 0.3333 0.8840  4 Al 2.80-2.86, 4 Ag 2.83-2.89

Summary:
Its formation energy is -0.01 eV per atom. The crystal system is trigonal. For the density of states at the Fermi level, the calculation gives 0.288 states/eV per atom.

No. 4
This record from Alexandria via LeMat-Bulk describes an optimized crystal structure of AlAg. The functional is PBE-GGA.

Cell lengths 5.4544, 5.5896, 4.8168 Å; angles 90.10, 103.21, 74.56 degrees
With the nearest neighbours (Å) after each atom.
Element x y z (fractional)
Ag 0.0078 0.4987 0.0034  6 Al 2.77-2.93, 5 Ag 2.79-3.09
Al 0.4820 0.6251 0.2479  6 Ag 2.72-2.93, 3 Al 2.79-3.02
Al 0.5180 0.8749 0.7521  6 Ag 2.72-2.93, 3 Al 2.79-3.02
Ag 0.5067 0.1081 0.2533  6 Al 2.72-2.99, 4 Ag 2.86-3.01
Al 0.0000 0.7500 0.5000  6 Ag 2.77-2.89, 6 Al 2.79-3.07
Ag 0.9922 0.0013 0.9966  6 Al 2.77-2.93, 5 Ag 2.79-3.09
Al 0.0000 0.2500 0.5000  6 Ag 2.78-2.99, 4 Al 2.79-3.02
Ag 0.4933 0.3919 0.7467  6 Al 2.72-2.99, 4 Ag 2.86-3.01

Summary:
Its formation energy is -0.02 eV per atom. The crystal system is triclinic. For the density of states at the Fermi level, the calculation gives 0.178 states/eV per atom.